The following is a DFT calculation (GGA-PBE) of a relaxed structure of Li3I2.

The structure in CIF format:
```
data_Li3I2
_chemical_formula_sum 'Li18 I12'
_symmetry_space_group_name_H-M 'R -3 c'
_symmetry_Int_Tables_number 167
_symmetry_space_group_name_Hall '-R 3 2"c'
_cell_length_a 7.1223
_cell_length_b 7.1223
_cell_length_c 21.4066
_cell_angle_alpha 90.00
_cell_angle_beta 90.00
_cell_angle_gamma 120.00
loop_
_atom_site_label
_atom_site_type_symbol
_atom_site_fract_x
_atom_site_fract_y
_atom_site_fract_z
Li1 Li 0.0000 0.3276 0.2500
I1 I 0.0000 0.0000 0.1559
```

Properties
VASP energy = -12.28 eV/f.u.
Density of states at the Fermi level = 0.243 states/eV/atom
Total moment = 0.84 μB/f.u.